The following is a PBE calculation of an optimized crystal structure of SrCe2PuSe4, from Alexandria via LeMat-Bulk.

Lattice parameters (Å, degrees): 7.3674 4.2380 7.4010 90.00 109.34 90.00
With the nearest neighbours (Å) after each atom.
Atoms (fractional coordinates):
Sr 0.0000 0.0000 0.0000  6 Se 3.04-3.05
Ce 0.0000 0.5000 0.5000  6 Se 3.03
Ce 0.5000 0.0000 0.5000  6 Se 2.97-2.98
Pu 0.5000 0.5000 0.0000  6 Se 2.98-2.99
Se 0.2568 0.0000 0.7512  3 Ce 2.98-3.03, 2 Pu 2.98, 1 Sr 3.05
Se 0.2574 0.5000 0.2543  3 Ce 2.97-3.03, 1 Pu 2.99, 2 Sr 3.04
Se 0.7432 0.0000 0.2488  3 Ce 2.98-3.03, 2 Pu 2.98, 1 Sr 3.05
Se 0.7426 0.5000 0.7457  3 Ce 2.97-3.03, 1 Pu 2.99, 2 Sr 3.04

density of states at the Fermi level = 19.7 states/eV per cell
M_tot = 1.05 μB per atom
uncorrected formation energy = -1758 meV/atom